*one*
Below is crystalline Tb2Pr2Th at its relaxed geometry, with properties calculated at the GGA-PBE level.

Unit cell a=3.6297 b=3.6297 c=44.2192 alpha=90.00 beta=90.00 gamma=120.00
Space group R-3m (No. 166, hexagonal axes)
Inequivalent atoms, fractional coordinates:
Tb  0.0000  0.0000  0.1031
Pr  0.0000  0.0000  0.2990
Th  0.0000  0.0000  0.5000

=====

*two*
Below is crystalline Tb2Pr2Th at its relaxed geometry, with properties calculated at the GGA-PBE level.

Unit cell a=5.412 b=17.403 c=3.558 alpha=90.00 beta=90.00 gamma=90.00
Space group Cmmm (No. 65)
Inequivalent atoms, fractional coordinates:
Tb  0.000  0.100  0.000
Pr  0.000  0.304  0.500
Th  0.000  0.500  0.500

=====

Of them, *one* has the highest stability.

=====

*one*
Below is crystalline Tb4PrTh2 at its relaxed geometry, with properties calculated at the GGA-PBE level.

Unit cell a=5.674 b=5.674 c=16.515 alpha=90.00 beta=90.00 gamma=90.00
Space group I4/mmm (No. 139)
Inequivalent atoms, fractional coordinates:
Tb  0.000  0.000  0.182
Tb  0.000  0.500  0.000
Pr  0.000  0.000  0.000
Th  0.000  0.000  0.389

=====

*two*
Below is crystalline Tb4PrTh2 at its relaxed geometry, with properties calculated at the GGA-PBE level.

Unit cell a=6.107 b=3.573 c=11.336 alpha=90.00 beta=99.12 gamma=90.00
Space group P2/m (No. 10)
Inequivalent atoms, fractional coordinates:
Tb  0.085  0.000  0.230
Tb  0.405  0.500  0.739
Pr  0.500  0.000  0.000
Th  0.000  0.500  0.500
Th  0.500  0.000  0.500

=====

Of them, *two* has the highest stability.

=====

*one*
Below is crystalline Tb7Pr4Th at its relaxed geometry, with properties calculated at the GGA-PBE level.

Unit cell a=12.212 b=6.021 c=12.874 alpha=90.00 beta=117.89 gamma=90.00
Space group C2/m (No. 12)
Inequivalent atoms, fractional coordinates:
Tb  0.000  0.000  0.000
Tb  0.135  0.500  0.504
Tb  0.211  0.000  0.924
Tb  0.248  0.500  0.315
Pr  0.059  0.000  0.331
Pr  0.139  0.500  0.777
Th  0.000  0.500  0.000

=====

*two*
Below is crystalline Tb7Pr4Th at its relaxed geometry, with properties calculated at the GGA-PBE level.

Unit cell a=6.309 b=7.279 c=9.014 alpha=89.77 beta=76.51 gamma=89.99
Space group P-1 (No. 2)
Inequivalent atoms, fractional coordinates:
Tb  0.000  0.000  0.000
Tb  0.218  0.500  0.327
Tb  0.274  0.744  0.672
Tb  0.499  0.742  0.999
Pr  0.226  0.001  0.334
Pr  0.275  0.255  0.670
Th  0.000  0.500  0.000

=====

Of them, *two* has the highest stability.

=====

*one*
Below is crystalline Tb8Pr2Th at its relaxed geometry, with properties calculated at the GGA-PBE level.

Unit cell a=18.310 b=5.084 c=8.032 alpha=90.00 beta=105.16 gamma=90.00
Space group C2/m (No. 12)
Inequivalent atoms, fractional coordinates:
Tb  0.044  0.000  0.233
Tb  0.089  0.500  0.950
Tb  0.134  0.000  0.675
Tb  0.179  0.500  0.407
Pr  0.228  0.000  0.137
Th  0.000  0.500  0.500

=====

*two*
Below is crystalline Tb8Pr2Th at its relaxed geometry, with properties calculated at the GGA-PBE level.

Unit cell a=19.333 b=6.869 c=5.656 alpha=90.00 beta=94.01 gamma=90.00
Space group C2/m (No. 12)
Inequivalent atoms, fractional coordinates:
Tb  0.049  0.000  0.228
Tb  0.127  0.240  0.725
Tb  0.181  0.500  0.223
Pr  0.219  0.000  0.253
Th  0.000  0.500  0.000

=====

Of them, *one* has the highest stability.

=====

*one*
Below is crystalline Tb5Pr4Th at its relaxed geometry, with properties calculated at the GGA-PBE level.

Unit cell a=25.900 b=3.644 c=7.211 alpha=90.00 beta=97.87 gamma=90.00
Space group C2/m (No. 12)
Inequivalent atoms, fractional coordinates:
Tb  0.000  0.000  0.000
Tb  0.097  0.500  0.303
Tb  0.200  0.000  0.101
Pr  0.097  0.500  0.798
Pr  0.200  0.000  0.601
Th  0.000  0.000  0.500

=====

*two*
Below is crystalline Tb5Pr4Th at its relaxed geometry, with properties calculated at the GGA-PBE level.

Unit cell a=3.638 b=3.638 c=25.512 alpha=90.00 beta=90.00 gamma=90.00
Space group P4/mmm (No. 123)
Inequivalent atoms, fractional coordinates:
Tb  0.000  0.000  0.000
Tb  0.000  0.000  0.201
Tb  0.000  0.000  0.406
Pr  0.500  0.500  0.100
Pr  0.500  0.500  0.302
Th  0.500  0.500  0.500

=====

Of them, *two* has the highest stability.

=====

*one*
Below is crystalline Tb2Pr4Th at its relaxed geometry, with properties calculated at the GGA-PBE level.

Unit cell a=6.843 b=11.734 c=12.286 alpha=90.00 beta=90.00 gamma=90.00
Space group Imma (No. 74)
Inequivalent atoms, fractional coordinates:
Tb  0.000  0.000  0.000
Tb  0.000  0.250  0.221
Pr  0.000  0.003  0.653
Pr  0.225  0.250  0.489
Th  0.250  0.250  0.750

=====

*two*
Below is crystalline Tb2Pr4Th at its relaxed geometry, with properties calculated at the GGA-PBE level.

Unit cell a=12.220 b=24.481 c=6.481 alpha=90.00 beta=90.00 gamma=90.00
Space group Fdd2 (No. 43)
Inequivalent atoms, fractional coordinates:
Tb  0.022  0.283  0.000
Pr  0.043  0.430  0.041
Pr  0.065  0.357  0.509
Th  0.000  0.000  0.043

=====

Of them, *two* has the highest stability.

=====

*one*
Below is crystalline Tb6Pr2Th at its relaxed geometry, with properties calculated at the GGA-PBE level.

Unit cell a=9.840 b=17.070 c=3.520 alpha=90.00 beta=90.00 gamma=90.00
Space group Cmmm (No. 65)
Inequivalent atoms, fractional coordinates:
Tb  0.165  0.165  0.000
Tb  0.170  0.500  0.000
Pr  0.000  0.333  0.500
Th  0.000  0.000  0.500

=====

*two*
Below is crystalline Tb6Pr2Th at its relaxed geometry, with properties calculated at the GGA-PBE level.

Unit cell a=3.5990 b=3.5990 c=26.7735 alpha=90.00 beta=90.00 gamma=120.00
Space group P-6m2 (No. 187)
Inequivalent atoms, fractional coordinates:
Tb  0.0000  0.0000  0.0626
Tb  0.0000  0.0000  0.2850
Tb  0.3333  0.6667  0.3914
Pr  0.3333  0.6667  0.1705
Th  0.0000  0.0000  0.5000

=====

Of them, *one* has the highest stability.

=====

*one*
Below is crystalline Tb2Pr6Th at its relaxed geometry, with properties calculated at the GGA-PBE level.

Unit cell a=3.6568 b=3.6568 c=27.4379 alpha=90.00 beta=90.00 gamma=120.00
Space group P-6m2 (No. 187)
Inequivalent atoms, fractional coordinates:
Tb  0.0000  0.0000  0.1703
Pr  0.0000  0.0000  0.3920
Pr  0.6667  0.3333  0.0660
Pr  0.6667  0.3333  0.2784
Th  0.6667  0.3333  0.5000

=====

*two*
Below is crystalline Tb2Pr6Th at its relaxed geometry, with properties calculated at the GGA-PBE level.

Unit cell a=9.407 b=18.243 c=3.679 alpha=90.00 beta=99.51 gamma=90.00
Space group C2/m (No. 12)
Inequivalent atoms, fractional coordinates:
Tb  0.000  0.161  0.000
Pr  0.169  0.330  0.317
Pr  0.173  0.500  0.828
Th  0.000  0.000  0.500

=====

Of them, *one* has the highest stability.

=====

*one*
Below is crystalline Tb5PrTl6 at its relaxed geometry, with properties calculated at the GGA-PBE level.

Unit cell a=9.812 b=11.366 c=6.676 alpha=90.00 beta=102.70 gamma=90.00
Space group C2/m (No. 12)
Inequivalent atoms, fractional coordinates:
Tb  0.000  0.000  0.000
Tb  0.000  0.165  0.500
Tb  0.000  0.334  0.000
Pr  0.000  0.500  0.500
Tl  0.247  0.171  0.245
Tl  0.248  0.000  0.758

=====

*two*
Below is crystalline Tb5PrTl6 at its relaxed geometry, with properties calculated at the GGA-PBE level.

Unit cell a=9.348 b=16.285 c=5.415 alpha=90.00 beta=125.24 gamma=90.00
Space group C2/m (No. 12)
Inequivalent atoms, fractional coordinates:
Tb  0.000  0.000  0.000
Tb  0.000  0.168  0.500
Tb  0.000  0.336  0.000
Pr  0.000  0.500  0.500
Tl  0.241  0.000  0.741
Tl  0.246  0.170  0.245

=====

Of them, *two* has the highest stability.

=====

*one*
Below is crystalline Tb3PrTl at its relaxed geometry, with properties calculated at the GGA-PBE level.

Unit cell a=10.538 b=5.463 c=11.125 alpha=90.00 beta=90.00 gamma=90.00
Space group Pnma (No. 62)
Inequivalent atoms, fractional coordinates:
Tb  0.095  0.250  0.108
Tb  0.096  0.750  0.671
Tb  0.141  0.750  0.350
Pr  0.219  0.250  0.516
Tl  0.069  0.250  0.835

=====

*two*
Below is crystalline Tb3PrTl at its relaxed geometry, with properties calculated at the GGA-PBE level.

Unit cell a=4.913 b=25.627 c=4.868 alpha=90.00 beta=90.00 gamma=90.00
Space group Cmcm (No. 63)
Inequivalent atoms, fractional coordinates:
Tb  0.000  0.047  0.250
Tb  0.000  0.250  0.250
Tb  0.000  0.449  0.250
Pr  0.000  0.148  0.750
Tl  0.000  0.346  0.750

=====

Of them, *two* has the highest stability.

=====

*one*
Below is crystalline Tb2Pr2Tl at its relaxed geometry, with properties calculated at the GGA-PBE level.

Unit cell a=5.217 b=17.271 c=6.897 alpha=90.00 beta=90.00 gamma=90.00
Space group Cmc2_1 (No. 36)
Inequivalent atoms, fractional coordinates:
Tb  0.000  0.108  0.000
Tb  0.000  0.307  0.238
Pr  0.000  0.301  0.758
Pr  0.000  0.497  0.754
Tl  0.000  0.103  0.503

=====

*two*
Below is crystalline Tb2Pr2Tl at its relaxed geometry, with properties calculated at the GGA-PBE level.

Unit cell a=11.263 b=4.865 c=7.912 alpha=90.00 beta=134.29 gamma=90.00
Space group C2/m (No. 12)
Inequivalent atoms, fractional coordinates:
Tb  0.200  0.000  0.088
Pr  0.111  0.500  0.308
Tl  0.000  0.000  0.500

=====

Of them, *two* has the highest stability.